The following is a DFT calculation (GGA-PBE) of a geometry-optimized PmY2Os structure.

```
PmY2Os
1.0
7.451 0.000 0.000
0.000 9.172 0.000
0.000 0.000 6.450
Pm Y Os
4 8 4
Cartesian
0.307 2.293 0.840 Pm
3.418 6.879 4.065 Pm
4.033 2.293 2.385 Pm
7.144 6.879 5.610 Pm
1.295 0.592 4.298 Y
1.295 3.994 4.298 Y
2.430 5.178 1.073 Y
2.430 8.581 1.073 Y
5.021 0.592 5.377 Y
5.021 3.994 5.377 Y
6.156 5.178 2.152 Y
6.156 8.581 2.152 Y
0.868 6.879 2.948 Os
2.858 2.293 6.173 Os
4.593 6.879 0.277 Os
6.583 2.293 3.503 Os
```

mass density = 7.7 g/cm3
E above lowest polymorph = 0 kJ/mol of formula units
VASP energy = -7.43 eV/atom
N(E_F) = 3.6 states/eV/f.u.

---

The following is a DFT calculation (GGA-PBE) of a geometry-optimized PmY3Os structure.

```
PmY3Os
1.0
5.452 0.000 0.000
0.000 5.452 0.000
0.000 0.000 5.452
Pm Y Os
1 3 1
Cartesian
0.000 0.000 0.000 Pm
0.000 2.726 2.726 Y
2.726 0.000 2.726 Y
2.726 2.726 0.000 Y
2.726 2.726 2.726 Os
```

mass density = 6.2 g/cm3
E above lowest polymorph = 66 kJ/mol of formula units
VASP energy = -7.06 eV/atom
N(E_F) = 7.5 states/eV/f.u.

---

The following is a DFT calculation (GGA-PBE) of a geometry-optimized PmY3Os structure.

```
PmY3Os
1.0
5.911 -4.327 0.000
5.911 4.327 0.000
-5.536 0.000 5.960
Pm Y Os
2 6 2
Cartesian
-1.272 0.000 2.062 Pm
7.557 0.000 3.898 Pm
1.853 1.698 1.206 Y
1.131 0.000 4.436 Y
1.853 -1.698 1.206 Y
4.432 1.698 4.755 Y
5.154 0.000 1.524 Y
4.432 -1.698 4.755 Y
-1.916 0.000 5.256 Os
8.202 0.000 0.705 Os
```

mass density = 6.6 g/cm3
E above lowest polymorph = 0 kJ/mol of formula units
VASP energy = -7.20 eV/atom
N(E_F) = 5.7 states/eV/f.u.

---

The following is a DFT calculation (GGA-PBE) of a geometry-optimized Pm2YOs structure.

```
Pm2YOs
1.0
7.480 0.000 0.000
0.000 9.399 0.000
0.000 0.000 6.423
Pm Y Os
8 4 4
Cartesian
1.311 0.600 1.087 Pm
1.311 4.099 1.087 Pm
2.429 5.300 4.299 Pm
2.429 8.799 4.299 Pm
5.052 0.600 2.125 Pm
5.052 4.099 2.125 Pm
6.169 5.300 5.336 Pm
6.169 8.799 5.336 Pm
0.311 2.350 4.088 Y
3.429 7.049 0.877 Y
4.051 2.350 5.547 Y
7.169 7.049 2.335 Y
0.867 7.049 6.162 Os
2.874 2.350 2.950 Os
4.607 7.049 3.473 Os
6.614 2.350 0.261 Os
```

mass density = 8.4 g/cm3
E above lowest polymorph = 0 kJ/mol of formula units
VASP energy = -6.96 eV/atom
N(E_F) = 3.4 states/eV/f.u.

---

The following is a DFT calculation (GGA-PBE) of a geometry-optimized PmY2Os structure.

```
PmY2Os
1.0
1.984 -6.111 0.000
1.984 6.111 0.000
0.000 0.000 9.157
Pm Y Os
2 4 2
Cartesian
1.984 5.182 6.868 Pm
1.984 -5.182 2.289 Pm
1.984 1.788 5.200 Y
1.984 1.788 8.536 Y
1.984 -1.788 0.622 Y
1.984 -1.788 3.957 Y
1.984 2.970 2.289 Os
1.984 -2.970 6.868 Os
```

mass density = 7.7 g/cm3
E above lowest polymorph = 7 kJ/mol of formula units
VASP energy = -7.41 eV/atom
N(E_F) = 4.1 states/eV/f.u.

---

The following is a DFT calculation (GGA-PBE) of a geometry-optimized PmY3Os structure.

```
PmY3Os
1.0
4.913 0.000 0.000
0.000 9.788 0.000
-2.446 0.000 6.128
Pm Y Os
2 6 2
Cartesian
0.005 2.447 1.685 Pm
2.463 7.341 4.442 Pm
0.006 7.341 1.633 Y
0.004 0.005 4.502 Y
0.004 4.888 4.502 Y
2.464 4.899 1.626 Y
2.464 9.782 1.626 Y
2.461 2.447 4.494 Y
0.009 2.447 6.111 Os
2.459 7.341 0.017 Os
```

mass density = 6.8 g/cm3
E above lowest polymorph = 32 kJ/mol of formula units
VASP energy = -7.14 eV/atom
N(E_F) = 4.8 states/eV/f.u.

---

The following is a DFT calculation (GGA-PBE) of a geometry-optimized Pm2YOs structure.

```
Pm2YOs
1.0
3.460 0.000 0.000
0.000 3.460 0.000
0.000 0.000 9.646
Pm Y Os
2 1 1
Cartesian
0.000 0.000 1.724 Pm
0.000 0.000 7.922 Pm
1.730 1.730 4.823 Y
1.730 1.730 0.000 Os
```

mass density = 8.2 g/cm3
E above lowest polymorph = 79 kJ/mol of formula units
VASP energy = -6.76 eV/atom
N(E_F) = 4.6 states/eV/f.u.

---

The following is a DFT calculation (GGA-PBE) of a geometry-optimized PmYOs4 structure.

```
PmYOs4
1.0
0.000 3.814 3.814
3.814 0.000 3.814
3.814 3.814 0.000
Pm Y Os
1 1 4
Cartesian
0.000 0.000 0.000 Pm
1.907 1.907 1.907 Y
4.767 2.862 2.862 Os
2.862 4.767 2.862 Os
2.862 2.862 4.767 Os
4.767 4.767 4.767 Os
```

mass density = 14.9 g/cm3
VASP energy = -9.54 eV/atom
N(E_F) = 5.9 states/eV/f.u.